! GGA-PBE BaNaIrW, relaxed; values from VASP
&SYSTEM
  ibrav = 0, nat = 16, ntyp = 4
/
ATOMIC_SPECIES
Ba 137.33 Ba.upf
Na 22.99 Na.upf
Ir 192.22 Ir.upf
W 183.84 W.upf
ATOMIC_POSITIONS angstrom
Ba 0.000 0.000 0.000
Ba 0.000 3.555 3.555
Ba 3.555 0.000 3.555
Ba 3.555 3.555 0.000
Na 1.778 1.778 1.778
Na 1.778 5.333 5.333
Na 5.333 1.778 5.333
Na 5.333 5.333 1.778
Ir 1.778 1.778 5.333
Ir 1.778 5.333 1.778
Ir 5.333 1.778 1.778
Ir 5.333 5.333 5.333
W 0.000 0.000 3.555
W 0.000 3.555 0.000
W 3.555 0.000 0.000
W 3.555 3.555 3.555
CELL_PARAMETERS angstrom
7.111 0.000 0.000
0.000 7.111 0.000
0.000 0.000 7.111
! Electronic total energy (eV/atom): -5.10
! Total magnetic moment (μB/f.u.): 2.6
! ΔE to the lowest computed polymorph (kJ/mol of formula units): 46